This record from the Alexandria database describes MnTeAu4 after structural relaxation. The functional is PBE.

Electronic total energy, eV per atom: -4.081
Spin magnetization, μB per atom: 0.82

Structure (CIF):
```
data_MnTeAu4
_chemical_formula_sum 'Mn4 Te4 Au16'
_cell_length_a 7.8946
_cell_length_b 7.8946
_cell_length_c 7.8946
_cell_angle_alpha 90.00
_cell_angle_beta 90.00
_cell_angle_gamma 90.00
_symmetry_space_group_name_H-M 'F -4 3 m'
_symmetry_Int_Tables_number 216
_symmetry_space_group_name_Hall 'F -4 2 3'
loop_
_atom_site_label
_atom_site_fract_x
_atom_site_fract_y
_atom_site_fract_z
Mn1 0.0000 0.0000 0.0000
Te1 0.2500 0.2500 0.7500
Au1 0.1254 0.1254 0.3746
```